[1]
La2Al | PBE | optimized geometry

Cell: 5.1315 5.1315 3.8257 Å, 90.00 90.00 120.00°
Fractional coordinates of all 3 atoms:
La (0.3333, 0.6667, 0.6806)
La (0.6667, 0.3333, 0.3194)
Al (0.0000, 0.0000, 0.0000)

Summary:
VASP energy in Ha/atom: -0.174
ΔE_f in eV/f.u.: -0.591
Magnetic moment in μB per formula unit: 0.000
Symmetry: No. 164
ρ in g/cm3: 5.8

[2]
Tb4SmHoTm2 | PBE | optimized geometry

Cell: 5.0166 5.0086 11.2018 Å, 63.44 90.00 90.00°
Fractional coordinates of all 8 atoms:
Sm (0.0000, 0.5000, 0.5000)
Tm (0.0000, 0.0000, 0.0000)
Tb (0.0000, 0.7477, 0.7520)
Tb (0.5000, 0.2484, 0.7515)
Tb (0.5000, 0.7516, 0.2485)
Tb (0.0000, 0.2523, 0.2480)
Tm (0.5000, 0.0000, 0.5000)
Ho (0.5000, 0.5000, 0.0000)

Summary:
VASP energy in Ha/atom: -0.168
ΔE_f in eV/f.u.: 0.149
Magnetic moment in μB per formula unit: 0.000
Symmetry: No. 123
ρ in g/cm3: 8.5

[3]
Na3Hf2PaS6 | PBE | optimized geometry

Cell: 6.4367 6.4367 7.2091 Å, 98.57 98.57 120.05°
Fractional coordinates of all 12 atoms:
Hf (0.6670, 0.3330, 0.0000)
Na (0.8357, 0.1643, 0.5000)
S (0.7299, 0.7299, 0.2255)
Na (0.1643, 0.8357, 0.5000)
S (0.2701, 0.2701, 0.7745)
Pa (0.0000, 0.0000, 0.0000)
S (0.9245, 0.5793, 0.7742)
Hf (0.3330, 0.6670, 0.0000)
S (0.0755, 0.4207, 0.2258)
S (0.5793, 0.9245, 0.7742)
S (0.4207, 0.0755, 0.2258)
Na (0.5000, 0.5000, 0.5000)

Summary:
VASP energy in Ha/atom: -0.231
Energy relative to the elements, uncorrected in meV per atom: -1453
Magnetic moment in μB per formula unit: 0.002
Symmetry: No. 12
ρ in g/cm3: 5.7

[4]
Tm3Zr2Zn3 | PBE | optimized geometry

Cell: 3.4180 4.9873 10.8061 Å, 103.34 99.10 90.00°
Fractional coordinates of all 8 atoms:
Tm (0.5000, 0.0000, 0.0000)
Tm (0.3759, 0.3759, 0.7517)
Zn (0.1176, 0.1176, 0.2352)
Zn (0.8824, 0.8824, 0.7648)
Tm (0.6241, 0.6241, 0.2483)
Zr (0.7325, 0.2325, 0.4650)
Zr (0.2675, 0.7675, 0.5350)
Zn (0.0000, 0.5000, 0.0000)

Summary:
VASP energy in Ha/atom: -0.167
ΔE_f in eV/f.u.: -1.971
Magnetic moment in μB per formula unit: 0.000
Symmetry: No. 71
ρ in g/cm3: 8.3

[5]
TbNbNi2 | PBE | optimized geometry

Cell: 4.2564 4.2564 5.3347 Å, 66.49 66.49 60.00°
Fractional coordinates of all 4 atoms:
Tb (0.5000, 0.5000, 0.5000)
Ni (0.7022, 0.7022, 0.8935)
Ni (0.2978, 0.2978, 0.1065)
Nb (0.0000, 0.0000, 0.0000)

Summary:
VASP energy in Ha/atom: -0.249
ΔE_f in eV/f.u.: -0.866
Magnetic moment in μB per formula unit: 0.000
Symmetry: No. 166
ρ in g/cm3: 8.3

[6]
TbEr2Tl | PBE | optimized geometry

Cell: 5.2423 3.7534 12.1355 Å, 98.75 90.00 90.00°
Fractional coordinates of all 8 atoms:
Tl (0.7500, 0.8424, 0.6777)
Tl (0.2500, 0.1576, 0.3223)
Tb (0.2500, 0.2952, 0.5862)
Er (0.2500, 0.9212, 0.8395)
Er (0.7500, 0.4579, 0.9131)
Er (0.7500, 0.0788, 0.1605)
Tb (0.7500, 0.7048, 0.4138)
Er (0.2500, 0.5421, 0.0869)

Summary:
VASP energy in Ha/atom: -0.154
ΔE_f in eV/f.u.: -0.657
Magnetic moment in μB per formula unit: 0.404
Symmetry: No. 11
ρ in g/cm3: 9.8
Energy relative to the lowest polymorph listed for this composition in eV/atom: 0.009